A plane-wave DFT calculation with SCAN was carried out for a crystal of V2H3O5 relaxed with PBEsol.

uncorrected energy = -9.593 eV/atom
density of states at the Fermi level = 0.224 states/eV/atom

Unit cell a=2.909 b=4.725 c=6.164 alpha=98.06 beta=103.65 gamma=90.00
Site moments in Bohr magnetons follow the coordinates.
Atoms (fractional coordinates):
O: 0.398 0.887 0.797  -0.01
O: 0.605 0.105 0.211  0.00
O: 0.002 0.495 0.003  -0.22
O: 0.303 0.338 0.605  -0.01
O: 0.699 0.671 0.398  0.00
H: 0.354 0.061 0.708  0.01
H: 0.664 0.865 0.328  0.01
H: 0.520 0.017 0.040  0.01
V: 0.139 0.396 0.278  1.62
V: 0.866 0.593 0.733  1.43

***

A plane-wave DFT calculation with SCAN was carried out for a crystal of ZnAs2Rh relaxed with PBEsol.

uncorrected energy = -22.068 eV/atom
density of states at the Fermi level = 0.462 states/eV/atom

Unit cell a=2.843 b=4.850 c=5.627 alpha=109.90 beta=90.00 gamma=107.04
Atoms (fractional coordinates):
As: 0.036 0.071 0.018
As: 0.837 0.674 0.245
Rh: 0.451 0.902 0.632
Zn: 0.176 0.352 0.605

***

A plane-wave DFT calculation with SCAN was carried out for a crystal of Zn7Sb8Ru9 relaxed with PBEsol.

formation energy without anion corrections = -23 kJ/mol of atoms
uncorrected energy = -29.662 eV/atom
density of states at the Fermi level = 0.670 states/eV/atom

Unit cell a=8.363 b=8.363 c=8.363 alpha=60.00 beta=60.00 gamma=60.00
Atoms (fractional coordinates):
Ru: 0.877 0.877 0.877
Ru: 0.123 0.123 0.630
Ru: 0.123 0.123 0.123
Ru: 0.500 0.500 0.500
Ru: 0.123 0.630 0.123
Ru: 0.877 0.877 0.370
Ru: 0.630 0.123 0.123
Ru: 0.370 0.877 0.877
Ru: 0.877 0.370 0.877
Zn: 0.500 0.000 0.500
Zn: 0.000 0.500 0.500
Zn: 0.500 0.500 0.000
Zn: 0.000 0.500 0.000
Zn: 0.000 0.000 0.000
Zn: 0.500 0.000 0.000
Zn: 0.000 0.000 0.500
Sb: 0.275 0.725 0.725
Sb: 0.275 0.725 0.275
Sb: 0.275 0.275 0.725
Sb: 0.725 0.275 0.725
Sb: 0.725 0.275 0.275
Sb: 0.750 0.750 0.750
Sb: 0.250 0.250 0.250
Sb: 0.725 0.725 0.275

***

A plane-wave DFT calculation with SCAN was carried out for a crystal of NiBi3Cl relaxed with PBEsol.

formation energy without anion corrections = 125 kJ/mol of atoms
uncorrected energy = -50.681 eV/atom
density of states at the Fermi level = 1.165 states/eV/atom

Unit cell a=5.336 b=5.336 c=5.336 alpha=90.00 beta=90.00 gamma=90.00
Site moments in Bohr magnetons follow the coordinates.
Atoms (fractional coordinates):
Bi: 0.000 0.500 0.000  0.07
Bi: 0.500 0.000 0.000  0.07
Bi: 0.000 0.000 0.500  0.07
Ni: 0.500 0.500 0.500  0.97
Cl: 0.000 0.000 0.000  0.00

***

A plane-wave DFT calculation with SCAN was carried out for a crystal of LaY2Si relaxed with PBEsol.

formation energy without anion corrections = -18 kJ/mol of atoms
uncorrected energy = -27.393 eV/atom
density of states at the Fermi level = 0.966 states/eV/atom

Unit cell a=3.618 b=4.671 c=6.464 alpha=90.00 beta=102.92 gamma=90.00
Atoms (fractional coordinates):
Y: 0.113 0.000 0.281
Y: 0.887 0.000 0.719
Si: 0.500 0.500 0.500
La: 0.500 0.500 0.000

***

A plane-wave DFT calculation with SCAN was carried out for a crystal of FeRu3W relaxed with PBEsol.

uncorrected energy = -36.683 eV/atom
density of states at the Fermi level = 0.659 states/eV/atom

Unit cell a=4.575 b=4.575 c=4.575 alpha=90.00 beta=90.00 gamma=90.00
Site moments in Bohr magnetons follow the coordinates.
Atoms (fractional coordinates):
Ru: 0.000 0.000 0.500  0.83
Ru: 0.500 0.000 0.000  0.83
Ru: 0.000 0.500 0.000  0.83
W: 0.000 0.000 0.000  -0.21
Fe: 0.500 0.500 0.500  3.62

***

A plane-wave DFT calculation with SCAN was carried out for a crystal of TaAsPdSe2 relaxed with PBEsol.

formation energy without anion corrections = 101 kJ/mol of atoms
uncorrected energy = -30.895 eV/atom
density of states at the Fermi level = 0.965 states/eV/atom
energy above the lowest structure with this stoichiometry = 151 meV per atom

Unit cell a=4.742 b=4.742 c=4.985 alpha=90.00 beta=90.00 gamma=90.00
Site moments in Bohr magnetons follow the coordinates.
Atoms (fractional coordinates):
As: 0.500 0.500 0.500  -0.20
Se: 0.500 0.000 0.000  0.00
Se: 0.000 0.500 0.000  0.00
Ta: 0.000 0.000 0.500  1.25
Pd: 0.000 0.000 0.000  0.04

***

A plane-wave DFT calculation with SCAN was carried out for a crystal of La3WBr relaxed with PBEsol.

formation energy without anion corrections = 57 kJ/mol of atoms
uncorrected energy = -43.101 eV/atom
density of states at the Fermi level = 1.211 states/eV/atom

Unit cell a=5.474 b=5.474 c=5.474 alpha=90.00 beta=90.00 gamma=90.00
Site moments in Bohr magnetons follow the coordinates.
Atoms (fractional coordinates):
La: 0.000 0.000 0.500  -0.07
La: 0.000 0.500 0.000  -0.07
La: 0.500 0.000 0.000  -0.07
Br: 0.000 0.000 0.000  -0.01
W: 0.500 0.500 0.500  2.70

***

no.,total magnetic moment (μB per cell)
1,3.00
2,0.00
3,0.00
4,1.23
5,0.00
6,5.75
7,1.50
8,3.34